NaAlCr2H2O8: optimized geometry, PBE+U.

abc: 15.0739 5.5899 9.1713
angles: 90.00 120.94 90.00
Space group C2/c (No. 15)
Unique sites:
Na 0.0000 0.0663 0.2500 x4
Al 0.2500 0.2500 0.5000 x4
Cr 0.1339 0.2736 0.0725 x8
H 0.0558 0.2948 0.5571 x8
O 0.0018 0.2399 0.5809 x8
O 0.1446 0.2419 0.2692 x8
O 0.1622 0.4389 0.5491 x8
O 0.1883 0.0378 0.0328 x8

**Uncorrected energy**: -6.299 eV per atom